[1]
BiAsI2O: optimized geometry, GGA-PBE.

Results
E: -16.9 eV/f.u.
Crystal system: tetragonal

CIF file:
```
data_BiAsI2O
_chemical_formula_sum 'Bi1 As1 I2 O1'
_symmetry_space_group_name_H-M 'P 4/m m m'
_symmetry_Int_Tables_number 123
_symmetry_space_group_name_Hall '-P 4 2'
_cell_length_a 6.011
_cell_length_b 6.011
_cell_length_c 3.816
_cell_angle_alpha 90.00
_cell_angle_beta 90.00
_cell_angle_gamma 90.00
loop_
_atom_site_label
_atom_site_type_symbol
_atom_site_fract_x
_atom_site_fract_y
_atom_site_fract_z
Bi1 Bi 0.000 0.000 0.000
As1 As 0.500 0.500 0.500
I1 I 0.000 0.500 0.500
O1 O 0.500 0.500 0.000
```



[2]
Zn2CrSe: optimized geometry, GGA-PBE.

Results
E: -15.5 eV/f.u.
Crystal system: monoclinic

CIF file:
```
data_Zn2CrSe
_chemical_formula_sum 'Zn4 Cr2 Se2'
_symmetry_space_group_name_H-M 'C 1 2/m 1'
_symmetry_Int_Tables_number 12
_cell_length_a 11.943
_cell_length_b 3.664
_cell_length_c 3.666
_cell_angle_alpha 90.00
_cell_angle_beta 107.66
_cell_angle_gamma 90.00
loop_
_symmetry_equiv_pos_as_xyz
'x,y,z'
'-x,-y,-z'
'-x,y,-z'
'x,-y,z'
'x+1/2,y+1/2,z'
'-x+1/2,-y+1/2,-z'
'-x+1/2,y+1/2,-z'
'x+1/2,-y+1/2,z'
loop_
_atom_site_label
_atom_site_type_symbol
_atom_site_fract_x
_atom_site_fract_y
_atom_site_fract_z
Zn1 Zn 0.232 0.000 0.232
Cr1 Cr 0.000 0.500 0.500
Se1 Se 0.000 0.000 0.000
```



[3]
NaTlBS2: optimized geometry, GGA-PBE.

Results
E: -20.2 eV/f.u.
Crystal system: orthorhombic

CIF file:
```
data_NaTlBS2
_chemical_formula_sum 'Na4 Tl4 B4 S8'
_symmetry_space_group_name_H-M 'C m m e'
_symmetry_Int_Tables_number 67
_symmetry_space_group_name_Hall '-C 2a 2'
_cell_length_a 7.328
_cell_length_b 15.055
_cell_length_c 5.219
_cell_angle_alpha 90.00
_cell_angle_beta 90.00
_cell_angle_gamma 90.00
loop_
_atom_site_label
_atom_site_type_symbol
_atom_site_fract_x
_atom_site_fract_y
_atom_site_fract_z
Na1 Na 0.250 0.000 0.000
Tl1 Tl 0.000 0.250 0.116
B1 B 0.000 0.000 0.500
S1 S 0.000 0.095 0.671
```



[4]
Tb2Be4Ge3Os: optimized geometry, GGA-PBE.

Results
E: -53.0 eV/f.u.
Energy of formation from the pure elements: -373 meV/atom
Crystal system: tetragonal

CIF file:
```
data_Tb2Be4Ge3Os
_chemical_formula_sum 'Tb2 Be4 Ge3 Os1'
_symmetry_space_group_name_H-M 'P -4 m 2'
_symmetry_Int_Tables_number 115
_cell_length_a 3.875
_cell_length_b 3.875
_cell_length_c 10.066
_cell_angle_alpha 90.00
_cell_angle_beta 90.00
_cell_angle_gamma 90.00
loop_
_symmetry_equiv_pos_as_xyz
'x,y,z'
'y,-x,-z'
'-x,-y,z'
'-y,x,-z'
'-x,y,z'
'-y,-x,-z'
'x,-y,z'
'y,x,-z'
loop_
_atom_site_label
_atom_site_type_symbol
_atom_site_fract_x
_atom_site_fract_y
_atom_site_fract_z
Tb1 Tb 0.000 0.500 0.249
Be1 Be 0.000 0.000 0.500
Be2 Be 0.000 0.500 0.867
Be3 Be 0.500 0.500 0.500
Ge1 Ge 0.000 0.000 0.000
Ge2 Ge 0.000 0.500 0.634
Os1 Os 0.500 0.500 0.000
```



[5]
YGa2Pt3: optimized geometry, GGA-PBE.

Results
E: -36.1 eV/f.u.
Energy of formation from the pure elements: -909 meV/atom
Crystal system: monoclinic

CIF file:
```
data_YGa2Pt3
_chemical_formula_sum 'Y6 Ga12 Pt18'
_symmetry_space_group_name_H-M 'C 1 2/m 1'
_symmetry_Int_Tables_number 12
_cell_length_a 16.795
_cell_length_b 4.048
_cell_length_c 9.974
_cell_angle_alpha 90.00
_cell_angle_beta 106.88
_cell_angle_gamma 90.00
loop_
_symmetry_equiv_pos_as_xyz
'x,y,z'
'-x,-y,-z'
'-x,y,-z'
'x,-y,z'
'x+1/2,y+1/2,z'
'-x+1/2,-y+1/2,-z'
'-x+1/2,y+1/2,-z'
'x+1/2,-y+1/2,z'
loop_
_atom_site_label
_atom_site_type_symbol
_atom_site_fract_x
_atom_site_fract_y
_atom_site_fract_z
Y1 Y 0.000 0.000 0.000
Y2 Y 0.163 0.000 0.707
Ga1 Ga 0.040 0.500 0.780
Ga2 Ga 0.138 0.500 0.454
Ga3 Ga 0.193 0.000 0.124
Pt1 Pt 0.000 0.500 0.500
Pt2 Pt 0.041 0.000 0.332
Pt3 Pt 0.114 0.500 0.189
Pt4 Pt 0.177 0.500 0.952
Pt5 Pt 0.219 0.000 0.390
```



[6]
CeBeGe2: optimized geometry, GGA-PBE.

Results
E: -19.1 eV/f.u.
Energy of formation from the pure elements: -47 meV/atom
Crystal system: trigonal

CIF file:
```
data_CeBeGe2
_chemical_formula_sum 'Ce3 Be3 Ge6'
_symmetry_space_group_name_H-M 'R -3 m'
_symmetry_Int_Tables_number 166
_symmetry_space_group_name_Hall '-R 3 2"'
_cell_length_a 5.0634
_cell_length_b 5.0634
_cell_length_c 10.4994
_cell_angle_alpha 90.00
_cell_angle_beta 90.00
_cell_angle_gamma 120.00
loop_
_atom_site_label
_atom_site_type_symbol
_atom_site_fract_x
_atom_site_fract_y
_atom_site_fract_z
Ce1 Ce 0.0000 0.0000 0.0000
Be1 Be 0.0000 0.0000 0.5000
Ge1 Ge 0.0000 0.0000 0.2722
```



[7]
AcLa5PmNd2: optimized geometry, GGA-PBE.

Results
E: -41.0 eV/f.u.
Energy of formation from the pure elements: 221 meV/atom
Crystal system: tetragonal

CIF file:
```
data_AcLa5PmNd2
_chemical_formula_sum 'Ac2 La10 Pm2 Nd4'
_symmetry_space_group_name_H-M 'P 4/m b m'
_symmetry_Int_Tables_number 127
_symmetry_space_group_name_Hall '-P 4 2ab'
_cell_length_a 8.126
_cell_length_b 8.126
_cell_length_c 10.394
_cell_angle_alpha 90.00
_cell_angle_beta 90.00
_cell_angle_gamma 90.00
loop_
_atom_site_label
_atom_site_type_symbol
_atom_site_fract_x
_atom_site_fract_y
_atom_site_fract_z
Ac1 Ac 0.000 0.000 0.000
La1 La 0.000 0.000 0.500
La2 La 0.200 0.300 0.243
Pm1 Pm 0.000 0.500 0.000
Nd1 Nd 0.130 0.630 0.500
```



[8]
Li4ZnPd: optimized geometry, GGA-PBE.

Results
E: -15.7 eV/f.u.
Energy of formation from the pure elements: -256 meV/atom
Crystal system: monoclinic

CIF file:
```
data_Li4ZnPd
_chemical_formula_sum 'Li8 Zn2 Pd2'
_symmetry_space_group_name_H-M 'P 1 21/m 1'
_symmetry_Int_Tables_number 11
_cell_length_a 4.875
_cell_length_b 5.430
_cell_length_c 6.791
_cell_angle_alpha 90.00
_cell_angle_beta 92.75
_cell_angle_gamma 90.00
loop_
_symmetry_equiv_pos_as_xyz
'x,y,z'
'-x,-y,-z'
'-x,y+1/2,-z'
'x,-y+1/2,z'
loop_
_atom_site_label
_atom_site_type_symbol
_atom_site_fract_x
_atom_site_fract_y
_atom_site_fract_z
Li1 Li 0.000 0.000 0.000
Li2 Li 0.325 0.003 0.352
Li3 Li 0.500 0.250 0.002
Zn1 Zn 0.158 0.250 0.671
Pd1 Pd 0.167 0.750 0.679
```



[9]
Zn4Ag2Pd: optimized geometry, GGA-PBE.

Results
E: -16.9 eV/f.u.
Energy of formation from the pure elements: -125 meV/atom
Crystal system: orthorhombic

CIF file:
```
data_Zn4Ag2Pd
_chemical_formula_sum 'Zn8 Ag4 Pd2'
_symmetry_space_group_name_H-M 'C m m m'
_symmetry_Int_Tables_number 65
_symmetry_space_group_name_Hall '-C 2 2'
_cell_length_a 6.147
_cell_length_b 8.750
_cell_length_c 4.384
_cell_angle_alpha 90.00
_cell_angle_beta 90.00
_cell_angle_gamma 90.00
loop_
_atom_site_label
_atom_site_type_symbol
_atom_site_fract_x
_atom_site_fract_y
_atom_site_fract_z
Zn1 Zn 0.217 0.000 0.000
Zn2 Zn 0.250 0.250 0.500
Ag1 Ag 0.000 0.268 0.000
Pd1 Pd 0.000 0.500 0.500
```



[10]
KIrPb3: optimized geometry, GGA-PBE.

Results
E: -11.6 eV/f.u.
Energy of formation from the pure elements: 1888 meV/atom
Crystal system: cubic

CIF file:
```
data_KIrPb3
_chemical_formula_sum 'K1 Ir1 Pb3'
_symmetry_space_group_name_H-M 'P m -3 m'
_symmetry_Int_Tables_number 221
_symmetry_space_group_name_Hall '-P 4 2 3'
_cell_length_a 5.700
_cell_length_b 5.700
_cell_length_c 5.700
_cell_angle_alpha 90.00
_cell_angle_beta 90.00
_cell_angle_gamma 90.00
loop_
_atom_site_label
_atom_site_type_symbol
_atom_site_fract_x
_atom_site_fract_y
_atom_site_fract_z
K1 K 0.000 0.000 0.000
Ir1 Ir 0.500 0.500 0.500
Pb1 Pb 0.000 0.000 0.500
```



[11]
KSrCa2Cd: optimized geometry, GGA-PBE.

Results
E: -7.6 eV/f.u.
Energy of formation from the pure elements: 18 meV/atom
Crystal system: tetragonal

CIF file:
```
data_KSrCa2Cd
_chemical_formula_sum 'K1 Sr1 Ca2 Cd1'
_symmetry_space_group_name_H-M 'P 4/m m m'
_symmetry_Int_Tables_number 123
_symmetry_space_group_name_Hall '-P 4 2'
_cell_length_a 6.201
_cell_length_b 6.201
_cell_length_c 6.396
_cell_angle_alpha 90.00
_cell_angle_beta 90.00
_cell_angle_gamma 90.00
loop_
_atom_site_label
_atom_site_type_symbol
_atom_site_fract_x
_atom_site_fract_y
_atom_site_fract_z
K1 K 0.000 0.000 0.000
Sr1 Sr 0.500 0.500 0.000
Ca1 Ca 0.000 0.500 0.500
Cd1 Cd 0.500 0.500 0.500
```



[12]
NaBr3N: optimized geometry, GGA-PBE.

Results
E: -10.5 eV/f.u.
Crystal system: cubic

CIF file:
```
data_NaBr3N
_chemical_formula_sum 'Na1 Br3 N1'
_symmetry_space_group_name_H-M 'P m -3 m'
_symmetry_Int_Tables_number 221
_symmetry_space_group_name_Hall '-P 4 2 3'
_cell_length_a 5.706
_cell_length_b 5.706
_cell_length_c 5.706
_cell_angle_alpha 90.00
_cell_angle_beta 90.00
_cell_angle_gamma 90.00
loop_
_atom_site_label
_atom_site_type_symbol
_atom_site_fract_x
_atom_site_fract_y
_atom_site_fract_z
Na1 Na 0.000 0.000 0.000
Br1 Br 0.000 0.000 0.500
N1 N 0.500 0.500 0.500
```